1.
# Tl2CdRh

Crystalline Tl2CdRh at its relaxed geometry (GGA-PBEsol, the Alexandria database).

a b c (Å): 3.051 4.538 13.251
angles (deg): 90.00 90.00 90.00
Space group Immm (No. 71)
Inequivalent atoms, fractional coordinates:
Tl: 0.000 0.000 0.177 (multiplicity 4)
Cd: 0.000 0.500 0.000 (multiplicity 2)
Rh: 0.000 0.500 0.500 (multiplicity 2)

Calculated formation energy = 0.04 eV/atom
V = 183.5 Å³ per cell
Mass density = 11.3 g cm⁻³

2.
# TlCd2Rh

Crystalline TlCd2Rh at its relaxed geometry (GGA-PBEsol, the Alexandria database).

a b c (Å): 3.135 3.135 8.223
angles (deg): 90.00 90.00 90.00
Space group P4/mmm (No. 123)
Inequivalent atoms, fractional coordinates:
Tl: 0.000 0.000 0.000 (multiplicity 1)
Cd: 0.500 0.500 0.303 (multiplicity 2)
Rh: 0.000 0.000 0.500 (multiplicity 1)

Calculated formation energy = 0.00 eV/atom
Excess energy over the best structure of this formula in the dataset = 0.022 eV per atom
V = 80.8 Å³ per cell
Mass density = 10.9 g cm⁻³

3.
# CdRh2W

Crystalline CdRh2W at its relaxed geometry (GGA-PBEsol, the Alexandria database).

a b c (Å): 3.367 3.367 5.547
angles (deg): 90.00 90.00 90.00
Space group P4mm (No. 99)
Inequivalent atoms, fractional coordinates:
Cd: 0.000 0.000 0.000 (multiplicity 1)
Rh: 0.000 0.000 0.508 (multiplicity 1)
Rh: 0.500 0.500 0.240 (multiplicity 1)
W: 0.500 0.500 0.686 (multiplicity 1)

Calculated formation energy = 0.28 eV/atom
Excess energy over the best structure of this formula in the dataset = 0.480 eV per atom
V = 62.9 Å³ per cell
Mass density = 13.3 g cm⁻³